Computed, not measured: an optimized crystal structure of Cd2CoHg at the PBE-GGA level of DFT.

- DFT total energy: -2.021 eV per atom
- Magnetic moment: 1.47 μB/f.u.
- Crystal system: trigonal
- Symmetry: No. 166
- ρ: 10.256 Mg/m³
- E_form: 27.81 kJ per mole of atoms

Cell lengths 9.9899, 9.9899, 9.9899 Å; angles 17.47, 17.47, 17.47 degrees
Last column: nearest neighbours and their distance in Å.
Fractional coordinates of all 4 atoms:
Cd  0.0121  0.0121  0.0121  3 Co 2.74, 6 Cd 3.03
Cd  0.4879  0.4879  0.4879  3 Co 2.74, 6 Cd 3.03
Co  0.7500  0.7500  0.7500  6 Cd 2.74, 6 Co 3.03
Hg  0.2500  0.2500  0.2500  6 Hg 3.03, 6 Cd 3.32

=====

Computed, not measured: an optimized crystal structure of La2PmGa4Pt3 at the PBE-GGA level of DFT.

- DFT total energy: -5.361 eV per atom
- Magnetic moment: 0.00 μB/f.u.
- Crystal system: tetragonal
- Symmetry: No. 115
- ρ: 9.731 Mg/m³
- E_form: -84.71 kJ per mole of atoms

Cell lengths 4.3325, 4.3325, 11.7001 Å; angles 90.00, 90.00, 90.00 degrees
Last column: nearest neighbours and their distance in Å.
Fractional coordinates of all 10 atoms:
La  0.5000  0.0000  0.2228  4 Pt 3.29, 8 Ga 3.31-3.39
La  0.0000  0.5000  0.7772  4 Pt 3.29, 8 Ga 3.31-3.39
Pm  0.5000  0.5000  0.5000  4 Ga 2.94, 4 Pt 3.06
Ga  0.5000  0.5000  0.0000  4 Pt 2.58
Ga  0.0000  0.0000  0.0000  4 Pt 2.58
Ga  0.5000  0.0000  0.6694  1 Pt 2.47
Ga  0.0000  0.5000  0.3306  1 Pt 2.47
Pt  0.0000  0.0000  0.5000  4 Ga 2.94, 4 Pm 3.06
Pt  0.5000  0.0000  0.8807  5 Ga 2.47-2.58
Pt  0.0000  0.5000  0.1193  5 Ga 2.47-2.58

=====

Computed, not measured: an optimized crystal structure of AlSb2TeI at the PBE-GGA level of DFT.

- DFT total energy: -2.246 eV per atom
- Raw formation energy: 1.090 eV per atom
- Magnetic moment: 0.27 μB/f.u.
- Offset from the most stable computed form: 0.7072 eV/atom
- Crystal system: tetragonal
- Symmetry: No. 123
- ρ: 4.347 Mg/m³

Cell lengths 5.8411, 5.8411, 5.8779 Å; angles 90.00, 90.00, 90.00 degrees
Last column: nearest neighbours and their distance in Å.
Fractional coordinates of all 5 atoms:
I  0.0000  0.0000  0.0000  4 Sb 2.92, 2 Te 2.94
Sb  0.0000  0.5000  0.0000  2 I 2.92
Sb  0.5000  0.0000  0.0000  2 I 2.92
Te  0.0000  0.0000  0.5000  2 I 2.94
Al  0.5000  0.5000  0.5000  4 Te 4.13, 8 Sb 4.14

=====

Computed, not measured: an optimized crystal structure of H3AuN at the PBE-GGA level of DFT.

- DFT total energy: -3.035 eV per atom
- Magnetic moment: 2.61 μB/f.u.
- Offset from the most stable computed form: 1.3322 eV/atom
- Crystal system: cubic
- Symmetry: No. 221
- ρ: 7.465 Mg/m³

Cell lengths 3.6241, 3.6241, 3.6241 Å; angles 90.00, 90.00, 90.00 degrees
Last column: nearest neighbours and their distance in Å.
Fractional coordinates of all 5 atoms:
H  0.0000  0.5000  0.0000  2 Au 1.81
H  0.0000  0.0000  0.5000  2 Au 1.81
H  0.5000  0.0000  0.0000  2 Au 1.81
Au  0.0000  0.0000  0.0000  6 H 1.81
N  0.5000  0.5000  0.5000  12 H 2.56

=====

Computed, not measured: an optimized crystal structure of VZnCuRu at the PBE-GGA level of DFT.

- DFT total energy: -5.964 eV per atom
- Magnetic moment: 0.71 μB/f.u.
- Crystal system: cubic
- Symmetry: No. 216
- ρ: 8.703 Mg/m³
- E_form: -2.19 kJ per mole of atoms

Cell lengths 4.2324, 4.2324, 4.2324 Å; angles 60.00, 60.00, 60.00 degrees
Last column: nearest neighbours and their distance in Å.
Fractional coordinates of all 4 atoms:
Ru  0.2500  0.2500  0.2500  4 Zn 2.59, 4 V 2.59
Zn  0.5000  0.5000  0.5000  4 Ru 2.59, 4 Cu 2.59
Cu  0.7500  0.7500  0.7500  4 V 2.59, 4 Zn 2.59
V  0.0000  0.0000  0.0000  4 Cu 2.59, 4 Ru 2.59

=====

Computed, not measured: an optimized crystal structure of PrMgAl2 at the PBE-GGA level of DFT.

- DFT total energy: -3.748 eV per atom
- Magnetic moment: 0.00 μB/f.u.
- Offset from the most stable computed form: 0.0000 eV/atom
- Crystal system: tetragonal
- Symmetry: No. 123
- ρ: 3.982 Mg/m³
- E_form: -27.29 kJ per mole of atoms

Cell lengths 4.4367, 4.5388, 4.5388 Å; angles 90.00, 90.00, 90.00 degrees
Last column: nearest neighbours and their distance in Å.
Fractional coordinates of all 4 atoms:
Pr  0.5000  0.0000  0.0000  8 Al 3.17, 4 Mg 3.21
Mg  0.5000  0.5000  0.5000  8 Al 3.17, 4 Pr 3.21
Al  0.0000  0.0000  0.5000  4 Pr 3.17, 4 Mg 3.17, 4 Al 3.21
Al  0.0000  0.5000  0.0000  4 Pr 3.17, 4 Mg 3.17, 4 Al 3.21

=====

Computed, not measured: an optimized crystal structure of Sr2CdSn3 at the PBE-GGA level of DFT.

- DFT total energy: -3.203 eV per atom
- Magnetic moment: 0.00 μB/f.u.
- Offset from the most stable computed form: 0.0000 eV/atom
- Crystal system: monoclinic
- Symmetry: No. 8
- ρ: 5.793 Mg/m³
- E_form: -47.09 kJ per mole of atoms

Cell lengths 4.9084, 6.7955, 6.5216 Å; angles 72.57, 67.89, 68.83 degrees
Last column: nearest neighbours and their distance in Å.
Fractional coordinates of all 6 atoms:
Sr  0.5585  0.1867  0.6962  7 Sn 3.39-3.62, 2 Cd 3.67
Sr  0.4437  0.8053  0.3074  7 Sn 3.44-3.61, 3 Cd 3.52-3.83
Cd  0.1592  0.4166  0.2650  4 Sn 2.95-3.12
Sn  0.8506  0.5762  0.7226  3 Sn 3.04-3.07, 1 Cd 3.12
Sn  0.8274  0.2141  0.1311  2 Cd 2.95, 2 Sn 3.04-3.27
Sn  0.1605  0.8011  0.8778  1 Cd 3.04, 3 Sn 3.07-3.27

=====

Computed, not measured: an optimized crystal structure of Dy2AlZn at the PBE-GGA level of DFT.

- DFT total energy: -3.398 eV per atom
- Magnetic moment: 0.00 μB/f.u.
- Offset from the most stable computed form: 0.5376 eV/atom
- Crystal system: trigonal
- Symmetry: No. 166
- ρ: 6.367 Mg/m³
- E_form: 15.13 kJ per mole of atoms

Cell lengths 3.4375, 3.4375, 10.8217 Å; angles 80.86, 80.86, 60.00 degrees
Last column: nearest neighbours and their distance in Å.
Fractional coordinates of all 4 atoms:
Zn  0.0000  0.0000  0.0000  2 Dy 3.05
Al  0.5000  0.5000  0.5000  6 Dy 3.01
Dy  0.0957  0.0957  0.7130  3 Al 3.01, 1 Zn 3.05
Dy  0.9043  0.9043  0.2870  3 Al 3.01, 1 Zn 3.05

=====

Computed, not measured: an optimized crystal structure of DyPuTh2 at the PBE-GGA level of DFT.

- DFT total energy: -8.160 eV per atom
- Magnetic moment: 6.13 μB/f.u.
- Offset from the most stable computed form: 0.1866 eV/atom
- Crystal system: trigonal
- Symmetry: No. 166
- ρ: 11.474 Mg/m³
- E_form: 27.39 kJ per mole of atoms

Cell lengths 3.4539, 3.4539, 12.3577 Å; angles 81.97, 81.97, 60.00 degrees
Last column: nearest neighbours and their distance in Å.
Fractional coordinates of all 4 atoms:
Dy  0.5000  0.5000  0.5000  6 Dy 3.45, 6 Th 3.57
Th  0.0857  0.0857  0.7430  1 Pu 3.13, 6 Th 3.45
Th  0.9143  0.9143  0.2570  1 Pu 3.13, 6 Th 3.45
Pu  0.0000  0.0000  0.0000  2 Th 3.13, 6 Pu 3.45

=====

Computed, not measured: an optimized crystal structure of CaCoOs3 at the PBE-GGA level of DFT.

- DFT total energy: -5.064 eV per atom
- Magnetic moment: 0.00 μB/f.u.
- Offset from the most stable computed form: 2.1523 eV/atom
- Crystal system: cubic
- Symmetry: No. 221
- ρ: 11.738 Mg/m³
- E_form: 337.24 kJ per mole of atoms

Cell lengths 4.5587, 4.5587, 4.5587 Å; angles 90.00, 90.00, 90.00 degrees
Last column: nearest neighbours and their distance in Å.
Fractional coordinates of all 5 atoms:
Co  0.5000  0.5000  0.5000  12 Os 3.22
Ca  0.0000  0.0000  0.0000  6 Os 2.28
Os  0.0000  0.5000  0.0000  2 Ca 2.28
Os  0.0000  0.0000  0.5000  2 Ca 2.28
Os  0.5000  0.0000  0.0000  2 Ca 2.28

=====

Computed, not measured: an optimized crystal structure of AcY2Ge at the PBE-GGA level of DFT.

- DFT total energy: -5.730 eV per atom
- Magnetic moment: 0.00 μB/f.u.
- Offset from the most stable computed form: 0.0000 eV/atom
- Crystal system: trigonal
- Symmetry: No. 160
- ρ: 5.775 Mg/m³
- E_form: -30.58 kJ per mole of atoms

Cell lengths 4.0877, 4.0877, 9.7760 Å; angles 77.93, 77.93, 60.00 degrees
Last column: nearest neighbours and their distance in Å.
Fractional coordinates of all 4 atoms:
Ac  0.5024  0.5024  0.4927  6 Y 3.86-4.00, 6 Ac 4.09
Y  0.0555  0.0555  0.8334  3 Ge 2.86
Y  0.2766  0.2766  0.1703  3 Ge 2.84
Ge  0.6655  0.6655  0.0036  6 Y 2.84-2.86

=====

Computed, not measured: an optimized crystal structure of Na2CdMo2 at the PBE-GGA level of DFT.

- DFT total energy: -4.381 eV per atom
- Magnetic moment: 0.00 μB/f.u.
- Offset from the most stable computed form: 0.0000 eV/atom
- Crystal system: tetragonal
- Symmetry: No. 139
- ρ: 4.692 Mg/m³
- E_form: 63.92 kJ per mole of atoms

Cell lengths 3.5360, 3.5360, 10.2241 Å; angles 80.04, 80.04, 90.00 degrees
Last column: nearest neighbours and their distance in Å.
Fractional coordinates of all 5 atoms:
Na  0.3899  0.3899  0.2202  4 Mo 3.29, 4 Cd 3.32, 4 Na 3.54
Na  0.6101  0.6101  0.7798  4 Mo 3.29, 4 Cd 3.32, 4 Na 3.54
Mo  0.7500  0.2500  0.5000  4 Mo 2.50
Mo  0.2500  0.7500  0.5000  4 Mo 2.50
Cd  0.0000  0.0000  0.0000  8 Na 3.32, 4 Cd 3.54

=====

What is the DFT total energy in the tenth record?
-5.064 eV per atom